[1]
# TbY2Ni6

TbY2Ni6 after structural relaxation (PBE, Alexandria).

Computed properties:
The calculation puts the calculated total energy at -5.96 eV/atom. For the energy above the most stable polymorph in this dataset, the calculation gives 21.91 kJ per mole of atoms. As for the density of states at the Fermi level: 1.007 states/eV per atom. As for the crystal system: orthorhombic. The calculation puts the calculated formation energy at -157 meV per atom.

Cell: 3.5969 7.5191 7.5191 Å, 54.29 76.16 76.16°
Atoms (fractional coordinates):
Y (0.6442, 0.8558, 0.8558)
Y (0.3558, 0.1442, 0.1442)
Ni (0.1657, 0.1572, 0.5114)
Ni (0.8343, 0.8428, 0.4886)
Ni (0.1657, 0.5114, 0.1572)
Ni (0.8343, 0.4886, 0.8428)
Ni (0.0000, 0.1743, 0.8257)
Ni (0.0000, 0.8257, 0.1743)
Tb (0.5000, 0.5000, 0.5000)

---

[2]
# Li5Tl3Ag

Li5Tl3Ag after structural relaxation (PBE, Alexandria).

Computed properties:
The calculation puts the calculated total energy at -2.37 eV/atom. As for the density of states at the Fermi level: 0.461 states/eV per atom. As for the crystal system: hexagonal. The calculation puts the calculated formation energy at -200 meV per atom.

Cell: 5.7186 8.3887 8.3881 Å, 120.00 90.00 90.00°
Atoms (fractional coordinates):
Li (0.2500, 0.2893, 0.2893)
Li (0.5000, 0.3333, 0.6667)
Li (0.0000, 0.3333, 0.6667)
Li (0.2500, 0.7107, 0.0000)
Li (0.0000, 0.6667, 0.3333)
Li (0.2500, 0.0000, 0.7107)
Li (0.7500, 0.2893, 0.0000)
Li (0.5000, 0.6667, 0.3333)
Li (0.7500, 0.0000, 0.2893)
Li (0.7500, 0.7107, 0.7107)
Tl (0.2500, 0.0000, 0.3693)
Tl (0.7500, 0.6308, 0.0000)
Tl (0.7500, 0.3693, 0.3693)
Tl (0.2500, 0.3692, 0.0000)
Tl (0.2500, 0.6307, 0.6307)
Tl (0.7500, 0.0000, 0.6307)
Ag (0.5000, 0.0000, 0.0000)
Ag (0.0000, 0.0000, 0.0000)

---

[3]
# ZrOs2Br

ZrOs2Br after structural relaxation (PBE, Alexandria).

Computed properties:
The calculation puts the calculated total energy at -8.04 eV/atom. For the energy above the most stable polymorph in this dataset, the calculation gives 0.53 kJ per mole of atoms. The energy relative to the elements, uncorrected comes out at 0.50 eV per formula unit. As for the density of states at the Fermi level: 0.580 states/eV per atom. As for the crystal system: orthorhombic.

Cell: 3.0188 3.7338 7.8058 Å, 90.00 90.00 90.00°
Atoms (fractional coordinates):
Os (0.5000, 0.5000, 0.2315)
Os (0.0000, 0.0000, 0.1237)
Zr (0.0000, 0.0000, 0.4594)
Br (0.5000, 0.5000, 0.6855)

---

[4]
# TbPm4DyS8

TbPm4DyS8 after structural relaxation (PBE, Alexandria).

Computed properties:
The calculation puts the calculated total energy at -6.30 eV/atom. The energy relative to the elements, uncorrected comes out at -26.91 eV per formula unit. As for the density of states at the Fermi level: 0.616 states/eV per atom. As for the crystal system: trigonal.

Cell: 8.2198 8.2198 8.2051 Å, 59.94 59.94 60.00°
Atoms (fractional coordinates):
S (0.2460, 0.2460, 0.2621)
S (0.2234, 0.7623, 0.2520)
S (0.2410, 0.2410, 0.7514)
S (0.7574, 0.7574, 0.7278)
S (0.7623, 0.2234, 0.2520)
S (0.7665, 0.2410, 0.7514)
S (0.2410, 0.7665, 0.7514)
S (0.7623, 0.7623, 0.2520)
Pm (0.6244, 0.6244, 0.1267)
Pm (0.0009, 0.4975, 0.5006)
Pm (0.0009, 0.0009, 0.5006)
Pm (0.4975, 0.0009, 0.5006)
Dy (0.3755, 0.3755, 0.8736)
Tb (0.0008, 0.0008, 0.9977)

---

[5]
# Y3Ho7Cd

Y3Ho7Cd after structural relaxation (PBE, Alexandria).

Computed properties:
The calculation puts the calculated total energy at -4.59 eV/atom. As for the density of states at the Fermi level: 1.442 states/eV per atom. As for the crystal system: trigonal. The calculation puts the calculated formation energy at 168 meV per atom.

Cell: 8.5199 6.9290 6.9290 Å, 120.00 90.00 90.00°
Atoms (fractional coordinates):
Ho (0.1150, 0.6667, 0.3333)
Ho (0.4448, 0.8302, 0.1698)
Ho (0.1223, 0.1675, 0.8325)
Ho (0.1223, 0.1675, 0.3350)
Ho (0.4448, 0.3396, 0.1698)
Ho (0.4448, 0.8302, 0.6604)
Ho (0.1223, 0.6650, 0.8325)
Y (0.7839, 0.5012, 0.4988)
Y (0.7839, 0.9975, 0.4988)
Y (0.7839, 0.5012, 0.0025)
Cd (0.4473, 0.3333, 0.6667)

---

[6]
# KPOsO2

KPOsO2 after structural relaxation (PBE, Alexandria).

Computed properties:
The calculation puts the calculated total energy at -5.89 eV/atom. For the energy above the most stable polymorph in this dataset, the calculation gives 0.00 kJ per mole of atoms. The energy relative to the elements, uncorrected comes out at -1.78 eV per formula unit. As for the density of states at the Fermi level: 1.052 states/eV per atom. As for the crystal system: tetragonal.

Cell: 4.0219 4.0219 4.7018 Å, 90.00 90.00 90.00°
Atoms (fractional coordinates):
Os (0.0000, 0.0000, 0.0000)
K (0.5000, 0.5000, 0.5000)
O (0.0000, 0.5000, 0.0000)
O (0.5000, 0.0000, 0.0000)
P (0.0000, 0.0000, 0.5000)

---

Copy entry 5 word for word.
# Y3Ho7Cd

Y3Ho7Cd after structural relaxation (PBE, Alexandria).

Computed properties:
The calculation puts the calculated total energy at -4.59 eV/atom. As for the density of states at the Fermi level: 1.442 states/eV per atom. As for the crystal system: trigonal. The calculation puts the calculated formation energy at 168 meV per atom.

Cell: 8.5199 6.9290 6.9290 Å, 120.00 90.00 90.00°
Atoms (fractional coordinates):
Ho (0.1150, 0.6667, 0.3333)
Ho (0.4448, 0.8302, 0.1698)
Ho (0.1223, 0.1675, 0.8325)
Ho (0.1223, 0.1675, 0.3350)
Ho (0.4448, 0.3396, 0.1698)
Ho (0.4448, 0.8302, 0.6604)
Ho (0.1223, 0.6650, 0.8325)
Y (0.7839, 0.5012, 0.4988)
Y (0.7839, 0.9975, 0.4988)
Y (0.7839, 0.5012, 0.0025)
Cd (0.4473, 0.3333, 0.6667)